Record 1
Al2CuAu8 | PBE | relaxed

The energy above the most stable polymorph in this dataset comes out at 0 meV per atom. As for the calculated volume: 17.49 Å³/atom. The value obtained for the density of states at the Fermi level is 0.292 states/eV per atom. The value obtained for the calculated total energy is -39.65 eV/f.u. The calculation puts the formation energy at -0.168 eV/atom.

It has space group P1 (No. 1), with a = 5.0219 Å, b = 5.6958 Å, c = 7.5806 Å, α = 106.75°, β = 109.14° and γ = 94.76°. The distinct sites, in fractional coordinates, are Al at (0.0000, 0.0000, 0.0000), Al at (0.4591, 0.2696, 0.6478), Cu at (0.7271, 0.6330, 0.3245), Au at (0.0096, 0.2644, 0.3526), Au at (0.0916, 0.5134, 0.0925), Au at (0.3675, 0.7560, 0.5559), Au at (0.4496, 0.0050, 0.2953), Au at (0.5057, 0.2017, 0.9899), Au at (0.5449, 0.6885, 0.9506), Au at (0.9151, 0.5806, 0.6981) and Au at (0.9534, 0.0669, 0.6573).



Record 2
Al3Cu4Au4 | PBE | relaxed

As for the calculated volume: 14.90 Å³/atom. The value obtained for the density of states at the Fermi level is 0.183 states/eV per atom. The value obtained for the calculated total energy is -43.28 eV/f.u. The calculation puts the formation energy at -0.233 eV/atom.

It has space group C2/m (No. 12), with a = 31.1808 Å, b = 3.1281 Å, c = 3.3802 Å, α = 90.00°, β = 96.20° and γ = 90.00°. The distinct sites, in fractional coordinates, are Al at (0.0000, 0.0000, 0.0000), Al at (0.1361, 0.5000, 0.6368), Cu at (0.0942, 0.0000, 0.0955), Cu at (0.2314, 0.5000, 0.7307), Au at (0.0471, 0.5000, 0.5481) and Au at (0.1814, 0.0000, 0.1812).



Record 3
AlCu5Au | PBE | relaxed

The energy above the most stable polymorph in this dataset comes out at 0 meV per atom. As for the calculated volume: 13.83 Å³/atom. The value obtained for the density of states at the Fermi level is 0.447 states/eV per atom. The value obtained for the calculated total energy is -27.57 eV/f.u. The calculation puts the formation energy at -0.009 eV/atom.

It has space group C2/c (No. 15), with a = 8.5581 Å, b = 4.8427 Å, c = 9.3672 Å, α = 90.00°, β = 93.81° and γ = 90.00°. The distinct sites, in fractional coordinates, are Al at (0.0000, 0.2436, 0.2500), Cu at (0.0000, 0.2415, 0.7500), Cu at (0.1616, 0.0045, 0.5526), Cu at (0.2430, 0.4983, 0.6910) and Au at (0.0000, 0.5000, 0.0000).



Record 4
AlCu6Au12 | PBE | relaxed

As for the calculated volume: 17.54 Å³/atom. The value obtained for the density of states at the Fermi level is 0.197 states/eV per atom. The value obtained for the calculated total energy is -66.55 eV/f.u. The calculation puts the formation energy at 0.058 eV/atom.

It has space group R-3 (No. 148, hexagonal axes), with a = 11.1882 Å, b = 11.1882 Å, c = 9.2240 Å, α = 90.00°, β = 90.00° and γ = 120.00°. The distinct sites, in fractional coordinates, are Al at (0.0000, 0.0000, 0.0000), Cu at (0.0321, 0.1416, 0.7081), Au at (0.0659, 0.4751, 0.1146) and Au at (0.0667, 0.4741, 0.6209).



Please write out number 2 again, unchanged.
Al3Cu4Au4 | PBE | relaxed

As for the calculated volume: 14.90 Å³/atom. The value obtained for the density of states at the Fermi level is 0.183 states/eV per atom. The value obtained for the calculated total energy is -43.28 eV/f.u. The calculation puts the formation energy at -0.233 eV/atom.

It has space group C2/m (No. 12), with a = 31.1808 Å, b = 3.1281 Å, c = 3.3802 Å, α = 90.00°, β = 96.20° and γ = 90.00°. The distinct sites, in fractional coordinates, are Al at (0.0000, 0.0000, 0.0000), Al at (0.1361, 0.5000, 0.6368), Cu at (0.0942, 0.0000, 0.0955), Cu at (0.2314, 0.5000, 0.7307), Au at (0.0471, 0.5000, 0.5481) and Au at (0.1814, 0.0000, 0.1812).